Entry 1:
Entry from Alexandria via LeMat-Bulk: a relaxed Nd6Si2Sb crystal (GGA-PBE).

Output
Total DFT energy (no corrections) (Ha/atom): -0.200
Calculated volume (Å³ per cell): 1037.94
Spin magnetization (μB/atom): 0.000

a = 9.717 Å, b = 9.963 Å, c = 10.721 Å
α = 90.00°, β = 90.00°, γ = 90.00°
Space group Immm (No. 71)
Unique sites:
Nd1 0.000 0.208 0.242 [8 per cell]
Nd2 0.206 0.500 0.180 [8 per cell]
Nd3 0.224 0.310 0.500 [8 per cell]
Si1 0.000 0.377 0.000 [4 per cell]
Si2 0.000 0.500 0.388 [4 per cell]
Sb1 0.000 0.000 0.000 [2 per cell]
Sb2 0.000 0.000 0.500 [2 per cell]

---

Entry 2:
Entry from Alexandria via LeMat-Bulk: a relaxed MnAsPb crystal (GGA-PBE).

Output
Calculated volume (Å³ per cell): 68.96
Distance to the lowest polymorph of the same formula (meV per atom): 39
Spin magnetization (μB/atom): 1.207

a = 4.2373 Å, b = 4.2373 Å, c = 4.4350 Å
α = 90.00°, β = 90.00°, γ = 120.00°
Space group P-6m2 (No. 187)
Unique sites:
Mn1 0.0000 0.0000 0.0000 [1 per cell]
As1 0.3333 0.6667 0.0000 [1 per cell]
Pb1 0.6667 0.3333 0.5000 [1 per cell]

---

Entry 3:
Entry from Alexandria via LeMat-Bulk: a relaxed Dy2ZnCr crystal (GGA-PBE).

Output
Calculated volume (Å³ per cell): 362.52
Distance to the lowest polymorph of the same formula (meV per atom): 0
Spin magnetization (μB/atom): 0.864

a = 7.130 Å, b = 7.130 Å, c = 7.130 Å
α = 90.00°, β = 90.00°, γ = 90.00°
Space group Fm-3m (No. 225)
Unique sites:
Dy1 0.250 0.250 0.250 [8 per cell]
Zn1 0.000 0.000 0.000 [4 per cell]
Cr1 0.000 0.000 0.500 [4 per cell]

---

Entry 4:
Entry from Alexandria via LeMat-Bulk: a relaxed CaAlTe2 crystal (GGA-PBE).

Output
Total DFT energy (no corrections) (Ha/atom): -0.131
Calculated volume (Å³ per cell): 224.47
Spin magnetization (μB/atom): 0.000

a = 5.823 Å, b = 5.823 Å, c = 6.621 Å
α = 90.00°, β = 90.00°, γ = 90.00°
Space group I4/mmm (No. 139)
Unique sites:
Ca1 0.000 0.000 0.000 [2 per cell]
Al1 0.000 0.000 0.500 [2 per cell]
Te1 0.000 0.500 0.250 [4 per cell]

---

Entry 5:
Entry from Alexandria via LeMat-Bulk: a relaxed FeTe2Ru crystal (GGA-PBE).

Output
Calculated volume (Å³ per cell): 386.09
Distance to the lowest polymorph of the same formula (meV per atom): 385
Spin magnetization (μB/atom): 0.000

a = 5.774 Å, b = 5.774 Å, c = 11.580 Å
α = 90.00°, β = 90.00°, γ = 90.00°
Space group I-42d (No. 122)
Unique sites:
Fe1 0.000 0.000 0.000 [4 per cell]
Te1 0.234 0.250 0.125 [8 per cell]
Ru1 0.000 0.000 0.500 [4 per cell]

---

Entry 6:
Entry from Alexandria via LeMat-Bulk: a relaxed Zr4ReOs3 crystal (GGA-PBE).

Output
Total DFT energy (no corrections) (Ha/atom): -0.386
Calculated volume (Å³ per cell): 142.61
Spin magnetization (μB/atom): 0.000

a = 3.287 Å, b = 3.287 Å, c = 13.199 Å
α = 90.00°, β = 90.00°, γ = 90.00°
Space group P4/mmm (No. 123)
Unique sites:
Zr1 0.000 0.000 0.124 [2 per cell]
Zr2 0.000 0.000 0.375 [2 per cell]
Re1 0.500 0.500 0.000 [1 per cell]
Os1 0.500 0.500 0.252 [2 per cell]
Os2 0.500 0.500 0.500 [1 per cell]

---

Entry 7:
Entry from Alexandria via LeMat-Bulk: a relaxed Rb2InPb7 crystal (GGA-PBE).

Output
Total DFT energy (no corrections) (Ha/atom): -0.116
Calculated volume (Å³ per cell): 387.17
Spin magnetization (μB/atom): 0.000

a = 5.210 Å, b = 5.210 Å, c = 14.263 Å
α = 90.00°, β = 90.00°, γ = 90.00°
Space group P-4m2 (No. 115)
Unique sites:
Rb1 0.000 0.500 0.245 [2 per cell]
In1 0.500 0.500 0.000 [1 per cell]
Pb1 0.000 0.000 0.000 [1 per cell]
Pb2 0.000 0.000 0.500 [1 per cell]
Pb3 0.000 0.500 0.635 [2 per cell]
Pb4 0.000 0.500 0.868 [2 per cell]
Pb5 0.500 0.500 0.500 [1 per cell]

---

Entry 8:
Entry from Alexandria via LeMat-Bulk: a relaxed PmSn2Rh4 crystal (GGA-PBE).

Output
Calculated volume (Å³ per cell): 266.05
Distance to the lowest polymorph of the same formula (meV per atom): 0
Spin magnetization (μB/atom): 0.000

a = 8.019 Å, b = 8.019 Å, c = 4.138 Å
α = 90.00°, β = 90.00°, γ = 90.00°
Space group P4_2/mnm (No. 136)
Unique sites:
Pm1 0.000 0.000 0.000 [2 per cell]
Sn1 0.223 0.223 0.500 [4 per cell]
Rh1 0.082 0.648 0.500 [8 per cell]

---

Entry 9:
Entry from Alexandria via LeMat-Bulk: a relaxed Na3Ac3HfS8 crystal (GGA-PBE).

Output
Total DFT energy (no corrections) (Ha/atom): -0.210
Calculated volume (Å³ per cell): 1255.08
Spin magnetization (μB/atom): 0.000

a = 8.5002 Å, b = 8.5002 Å, c = 20.0580 Å
α = 90.00°, β = 90.00°, γ = 120.00°
Space group R-3m (No. 166, hexagonal axes)
Unique sites:
Na1 0.0000 0.5000 0.0000 [9 per cell]
Ac1 0.0000 0.5000 0.5000 [9 per cell]
Hf1 0.0000 0.0000 0.5000 [3 per cell]
S1 0.0000 0.0000 0.2483 [6 per cell]
S2 0.0406 0.5203 0.2395 [18 per cell]

---

Entry 10:
Entry from Alexandria via LeMat-Bulk: a relaxed LaReP3 crystal (GGA-PBE).

Output
Calculated volume (Å³ per cell): 132.40
Distance to the lowest polymorph of the same formula (meV per atom): 2458
Spin magnetization (μB/atom): 0.000

a = 5.097 Å, b = 5.097 Å, c = 5.097 Å
α = 90.00°, β = 90.00°, γ = 90.00°
Space group Pm-3m (No. 221)
Unique sites:
La1 0.000 0.000 0.000 [1 per cell]
Re1 0.500 0.500 0.500 [1 per cell]
P1 0.000 0.000 0.500 [3 per cell]

---

Entry 11:
Entry from Alexandria via LeMat-Bulk: a relaxed La5Tm3Sb8 crystal (GGA-PBE).

Output
Total DFT energy (no corrections) (Ha/atom): -0.207
Calculated volume (Å³ per cell): 1567.65
Spin magnetization (μB/atom): 0.000

a = 9.0501 Å, b = 9.0501 Å, c = 22.1008 Å
α = 90.00°, β = 90.00°, γ = 120.00°
Space group R-3m (No. 166, hexagonal axes)
Unique sites:
La1 0.0000 0.0000 0.0000 [3 per cell]
La2 0.0000 0.0000 0.5000 [3 per cell]
La3 0.0000 0.5000 0.0000 [9 per cell]
Tm1 0.0000 0.5000 0.5000 [9 per cell]
Sb1 0.0000 0.0000 0.2445 [6 per cell]
Sb2 0.0075 0.5038 0.7538 [18 per cell]

---

Entry 12:
Entry from Alexandria via LeMat-Bulk: a relaxed CaPt2Au2 crystal (GGA-PBE).

Output
Calculated volume (Å³ per cell): 193.32
Distance to the lowest polymorph of the same formula (meV per atom): 8
Spin magnetization (μB/atom): 0.000

a = 7.508 Å, b = 7.508 Å, c = 3.429 Å
α = 90.00°, β = 90.00°, γ = 90.00°
Space group P4/mbm (No. 127)
Unique sites:
Ca1 0.000 0.000 0.000 [2 per cell]
Pt1 0.129 0.371 0.000 [4 per cell]
Au1 0.170 0.670 0.500 [4 per cell]